1.
Material: NiAgN2
Method: DFT, PBE
State: optimized geometry

Structure (POSCAR):
```
NiAgN2
1.0
5.1168 0.0000 0.0000
0.0000 5.1168 0.0000
2.5584 2.5584 3.6753
Ag N Ni
2 4 2
direct
0.0000 0.0000 0.0000
0.7500 0.2500 0.5000
0.3750 0.4476 0.7500
0.5524 0.1250 0.2500
0.1976 0.6250 0.2500
0.8750 0.8024 0.7500
0.2500 0.7500 0.5000
0.5000 0.5000 0.0000
```

Summary:
E_form (uncorrected)   0.977 eV/atom
V   96.23 Å³/cell
DOS(E_F)   4.4 states/eV per cell

---

2.
Material: Na3V2Cl8
Method: DFT, PBE
State: optimized geometry

Structure (POSCAR):
```
Na3V2Cl8
1.0
-1.8965 6.1402 1.9535
-7.5785 -0.7823 0.6326
-3.3132 -1.4093 6.7441
Na V Cl
3 2 8
direct
0.0000 0.2571 0.7429
0.0000 0.7429 0.2571
0.5000 0.0000 0.0000
0.0037 0.7491 0.7491
0.9963 0.2509 0.2509
0.2119 0.3675 0.3675
0.7901 0.0888 0.6009
0.2099 0.3991 0.9112
0.7881 0.6325 0.6325
0.7792 0.1264 0.1264
0.7901 0.6009 0.0888
0.2208 0.8736 0.8736
0.2099 0.9112 0.3991
```

Summary:
E_form (uncorrected)   -1.436 eV/atom
V   325.07 Å³/cell
DOS(E_F)   13.0 states/eV per cell

---

3.
Material: BeBP3
Method: DFT, PBE
State: optimized geometry

Structure (POSCAR):
```
BeBP3
1.0
-0.2036 2.3953 3.2693
1.7725 -2.8911 2.2286
3.6447 1.5398 -0.9012
P Be B
3 1 1
direct
0.0000 0.5000 0.0000
0.5000 0.0000 0.0000
0.0000 0.0000 0.5000
0.5000 0.5000 0.5000
0.0000 0.0000 0.0000
```

Summary:
Energy relative to the elements   1.052 eV per atom
V   66.82 Å³/cell
DOS(E_F)   3.2 states/eV per cell

---

4.
Material: BaS3I
Method: DFT, PBE
State: optimized geometry

Structure (POSCAR):
```
BaS3I
1.0
5.9123 0.0000 0.0000
0.0000 5.9123 0.0000
0.0000 0.0000 5.9123
Ba I S
1 1 3
direct
0.0000 0.0000 0.0000
0.5000 0.5000 0.5000
0.0000 0.5000 0.0000
0.0000 0.0000 0.5000
0.5000 0.0000 0.0000
```

Summary:
E_form (uncorrected)   0.596 eV/atom
V   206.66 Å³/cell
DOS(E_F)   17.2 states/eV per cell

---

5.
Material: Rb2YHgCl6
Method: DFT, PBE
State: optimized geometry

Structure (POSCAR):
```
Rb2YHgCl6
1.0
-2.6451 7.0741 1.3459
-7.2190 -3.1601 2.4221
3.7581 -0.5815 10.4422
Rb Hg Cl Y
4 2 12 2
direct
0.5000 0.8002 0.2191
0.0000 0.1998 0.2809
0.0000 0.1998 0.7191
0.5000 0.8002 0.7809
0.5000 0.2861 0.0000
0.0000 0.7139 0.5000
0.7446 0.5641 0.0000
0.2554 0.5641 0.0000
0.0000 0.7874 0.7622
0.5000 0.2126 0.2622
0.7554 0.4359 0.5000
0.2446 0.4359 0.5000
0.7596 0.0091 0.0000
0.0000 0.7874 0.2378
0.7404 0.9909 0.5000
0.5000 0.2126 0.7378
0.2596 0.9909 0.5000
0.2404 0.0091 0.0000
0.0000 0.7771 0.0000
0.5000 0.2229 0.5000
```

Summary:
E_form (uncorrected)   -1.719 eV/atom
V   702.84 Å³/cell
DOS(E_F)   9.1 states/eV per cell

---

6.
Material: Te3AuSe
Method: DFT, PBE
State: optimized geometry

Structure (POSCAR):
```
Te3AuSe
1.0
5.4361 0.0000 0.0000
0.0000 5.4361 0.0000
0.0000 0.0000 5.4361
Au Te Se
1 3 1
direct
0.5000 0.5000 0.5000
0.0000 0.5000 0.0000
0.5000 0.0000 0.0000
0.0000 0.0000 0.5000
0.0000 0.0000 0.0000
```

Summary:
E_form (uncorrected)   0.760 eV/atom
V   160.65 Å³/cell
DOS(E_F)   4.8 states/eV per cell